Record 1
Compound: RbCr2FeB
Source: Alexandria
Functional: PBEsol
Structure: optimized geometry

Cell: 4.394 4.394 5.686 Å, 90.00 90.00 90.00°
Each line ends with the local moment (μB).
Sites, in units of the cell vectors:
B (0.500, 0.500, 0.500)  -0.15
Cr (0.500, 0.000, 0.000)  3.21
Rb (0.000, 0.000, 0.500)  0.00
Fe (0.000, 0.000, 0.000)  -1.46
Cr (0.000, 0.500, 0.000)  3.21

## Properties
- VASP energy: -5.29 eV per atom
- ΔH_f (0 K): 2.205 eV per atom
- Theoretical density: 3.9 g/cm³



Record 2
Compound: La3CoP
Source: Alexandria
Functional: PBEsol
Structure: optimized geometry

Cell: 5.476 5.476 5.476 Å, 90.00 90.00 90.00°
Each line ends with the local moment (μB).
Sites, in units of the cell vectors:
Co (0.500, 0.500, 0.500)  -1.91
La (0.500, 0.000, 0.000)  0.08
La (0.000, 0.500, 0.000)  0.08
La (0.000, 0.000, 0.500)  0.08
P (0.000, 0.000, 0.000)  0.00

## Properties
- VASP energy: -5.77 eV per atom
- ΔH_f (0 K): 0.142 eV per atom
- Theoretical density: 5.1 g/cm³



Record 3
Compound: LaMgTa2
Source: Alexandria
Functional: PBEsol
Structure: optimized geometry

Cell: 2.967 4.682 6.321 Å, 90.00 101.10 90.00°
Sites, in units of the cell vectors:
Ta (0.399, 0.500, 0.219)
La (0.939, 0.000, 0.483)
Ta (0.092, 0.000, 0.010)
Mg (0.570, 0.500, 0.788)

## Properties
- VASP energy: -7.63 eV per atom
- ΔH_f (0 K): 0.411 eV per atom
- Theoretical density: 10.1 g/cm³



Record 4
Compound: ZnHg2Au
Source: Alexandria
Functional: PBEsol
Structure: optimized geometry

Cell: 3.062 3.062 8.020 Å, 90.00 90.00 90.00°
Sites, in units of the cell vectors:
Hg (0.000, 0.000, 0.982)
Zn (0.000, 0.000, 0.523)
Au (0.500, 0.500, 0.715)
Hg (0.500, 0.500, 0.279)

## Properties
- VASP energy: -1.65 eV per atom
- ΔH_f (0 K): 0.013 eV per atom
- Theoretical density: 14.7 g/cm³



Record 5
Compound: Ti2NbTl
Source: Alexandria
Functional: PBEsol
Structure: optimized geometry

Cell: 4.630 4.630 4.630 Å, 60.00 60.00 60.00°
Sites, in units of the cell vectors:
Ti (0.750, 0.750, 0.750)
Ti (0.250, 0.250, 0.250)
Nb (0.000, 0.000, 0.000)
Tl (0.500, 0.500, 0.500)

## Properties
- VASP energy: -7.52 eV per atom
- ΔH_f (0 K): -0.001 eV per atom
- Theoretical density: 9.3 g/cm³



Record 6
Compound: ZnTe2H
Source: Alexandria
Functional: PBEsol
Structure: optimized geometry

Cell: 3.953 3.953 7.383 Å, 74.47 74.47 60.00°
Sites, in units of the cell vectors:
Te (0.093, 0.093, 0.720)
H (0.000, 0.000, 0.000)
Zn (0.500, 0.500, 0.500)
Te (0.907, 0.907, 0.280)

## Properties
- VASP energy: -2.84 eV per atom
- Theoretical density: 5.6 g/cm³



Record 7
Compound: HfBe5
Source: Alexandria
Functional: PBEsol
Structure: optimized geometry

Cell: 3.422 4.495 4.495 Å, 120.00 90.00 90.00°
Sites, in units of the cell vectors:
Be (0.000, 0.333, 0.667)
Be (0.500, 0.500, 0.500)
Be (0.000, 0.667, 0.333)
Be (0.500, 0.500, 0.000)
Be (0.500, 0.000, 0.500)
Hf (0.000, 0.000, 0.000)

## Properties
- VASP energy: -5.31 eV per atom
- ΔH_f (0 K): -0.226 eV per atom
- Theoretical density: 6.2 g/cm³



Record 8
Compound: NaCdSI2
Source: Alexandria
Functional: PBEsol
Structure: optimized geometry

Cell: 5.686 5.686 5.648 Å, 90.00 90.00 90.00°
Each line ends with the local moment (μB).
Sites, in units of the cell vectors:
Na (0.000, 0.000, 0.000)  0.00
I (0.000, 0.500, 0.000)  0.27
S (0.500, 0.500, 0.500)  1.09
I (0.500, 0.000, 0.000)  0.27
Cd (0.000, 0.000, 0.500)  0.12

## Properties
- Formation energy from raw total energies: 0.46 eV per atom
- VASP energy: -1.64 eV per atom
- Theoretical density: 3.8 g/cm³



Record 9
Compound: HPbSCl2
Source: Alexandria
Functional: PBEsol
Structure: optimized geometry

Cell: 5.347 5.347 5.154 Å, 90.00 90.00 90.00°
Each line ends with the local moment (μB).
Sites, in units of the cell vectors:
Pb (0.000, 0.000, 0.000)  0.00
Cl (0.000, 0.500, 0.000)  0.06
Cl (0.500, 0.000, 0.000)  0.06
H (0.500, 0.500, 0.500)  0.36
S (0.000, 0.000, 0.500)  0.39

## Properties
- VASP energy: -2.76 eV per atom
- Theoretical density: 3.5 g/cm³



Record 10
Compound: MgScOs2
Source: Alexandria
Functional: PBEsol
Structure: optimized geometry

Cell: 3.023 4.469 5.439 Å, 114.25 106.13 90.00°
Sites, in units of the cell vectors:
Sc (0.512, 0.512, 0.025)
Os (0.266, 0.766, 0.532)
Mg (0.734, 0.234, 0.468)
Os (0.988, 0.988, 0.976)

## Properties
- VASP energy: -8.21 eV per atom
- ΔH_f (0 K): -0.025 eV per atom
- Theoretical density: 11.7 g/cm³



Record 11
Compound: ZrIn2Se
Source: Alexandria
Functional: PBEsol
Structure: optimized geometry

Cell: 3.566 4.581 5.817 Å, 90.00 107.85 90.00°
Sites, in units of the cell vectors:
Zr (0.693, 0.500, 0.386)
Se (0.817, 0.000, 0.633)
In (0.425, 0.500, 0.850)
In (0.082, 0.000, 0.164)

## Properties
- Formation energy from raw total energies: -0.40 eV per atom
- VASP energy: -5.12 eV per atom
- Theoretical density: 7.3 g/cm³



Record 12
Compound: LiNi2Ru
Source: Alexandria
Functional: PBEsol
Structure: optimized geometry

Cell: 2.491 4.125 4.410 Å, 90.00 90.00 90.00°
Sites, in units of the cell vectors:
Li (0.500, 0.500, 0.192)
Ni (0.000, 0.500, 0.704)
Ru (0.500, 0.000, 0.552)
Ni (0.000, 0.000, 0.052)

## Properties
- VASP energy: -6.06 eV per atom
- ΔH_f (0 K): 0.056 eV per atom
- Theoretical density: 8.3 g/cm³



Q: What is the theoretical density in the first record?
A: 3.9 g/cm³



Q: The highest VASP energy belongs to which entry?
A: NaCdSI2



Q: What is the theoretical density in the second record?
A: 5.1 g/cm³